VASP calculation (PBE+U) on crystalline Fe3CuF at its relaxed geometry.

a b c (Å): 4.706 4.706 4.706
angles (deg): 90.00 90.00 90.00
Fractional positions:
F 0.500 0.500 0.500
Cu 0.000 0.000 0.000
Fe 0.500 0.000 0.000
Fe 0.000 0.500 0.000
Fe 0.000 0.000 0.500

Summary:
The relative energy among the computed polymorphs comes out at 190 meV/atom. The spin magnetization is 11.429 Bohr magnetons per cell. Its final energy is -19.277 eV per formula unit.